PWO4F | GGA+U | relaxed

abc: 5.3804 5.3821 7.7163
angles: 107.75 108.26 93.92
Last column: nearest neighbours and their distance in Å.
Fractional coordinates of all 14 atoms:
1 F 0.3419 0.1547 0.2525  2 W 2.10
2 F 0.6581 0.8453 0.7475  2 W 2.10
3 O 0.8257 0.3003 0.1148  1 P 1.55
4 O 0.2813 0.3497 0.6287  1 P 1.54
5 O 0.8076 0.3312 0.6147  1 P 1.55
6 O 0.1537 0.2299 0.8800  1 P 1.54
7 O 0.8463 0.7701 0.1200  1 P 1.54
8 O 0.1743 0.6997 0.8852  1 P 1.55
9 O 0.7187 0.6503 0.3713  1 P 1.54
10 O 0.1924 0.6688 0.3853  1 P 1.55
11 P 0.1023 0.4047 0.7521  4 O 1.54-1.55
12 P 0.8977 0.5953 0.2479  4 O 1.54-1.55
13 W 0.5000 0.5000 0.5000  4 O 2.03, 2 F 2.10
14 W 0.0000 0.0000 0.0000  4 O 2.03, 2 F 2.10

Summary:
As for the density of states at the Fermi level: 0.000 states/eV per atom. For the total energy, the calculation gives -7.1761 eV per atom. The calculation puts the spin magnetization at 4.000 μB/cell. The calculation puts the excess energy over the best structure of this formula in the dataset at 0.000 eV per atom.